{
  "formula": "SrP4Rh6",
  "functional": "GGA-PBE",
  "state": "relaxed",
  "lattice": [[7.072, 0.000, 0.000], [-3.536, 6.124, 0.000], [0.000, 0.000, 3.741]],
  "species": ["P", "P", "P", "P", "Rh", "Rh", "Rh", "Rh", "Rh", "Rh", "Sr"],
  "fractional_positions": [[0.333, 0.667, 0.000], [0.808, 0.192, 0.500], [0.808, 0.617, 0.500], [0.383, 0.192, 0.500], [0.534, 0.466, 0.000], [0.534, 0.069, 0.000], [0.931, 0.466, 0.000], [0.201, 0.799, 0.500], [0.201, 0.402, 0.500], [0.598, 0.799, 0.500], [0.000, 0.000, 0.000]],
  "volume_a3_per_cell": 162,
  "dft_energy_ev_per_cell": -76.1,
  "e_form_ev_per_atom": -0.785
}